Record 1
4
Lattice="-1.3799 1.3582 4.7150 -5.0317 -0.1847 0.7925 3.4340 -3.2388 -1.9230" Properties=species:S:1:pos:R:3 comment="Ta3Ni (PBE-GGA, relaxed)" formation_enthalpy_0k_ev_per_atom=0.06 magmom_total_mub_per_cell=0.00 space_group="No. 139" pbc="T T T"
Ni 0.0000 0.0000 0.0000
Ta -3.2058 0.5867 2.7537
Ta -0.5758 -0.6469 2.7729
Ta -2.4018 -1.4184 0.8116

Record 2
12
Lattice="-4.1283 0.1938 3.3749 2.6390 -4.5801 -0.7268 4.7246 1.8219 5.6747" Properties=species:S:1:pos:R:3 comment="TaNi (PBE-GGA, relaxed)" formation_enthalpy_0k_ev_per_atom=0.31 magmom_total_mub_per_cell=0.00 space_group="No. 194" pbc="T T T"
Ni 0.0000 0.0000 0.0000
Ni 0.7693 -2.8399 1.1041
Ni 2.3595 -2.2267 3.0141
Ni 2.3623 0.9109 2.8373
Ni 0.8759 -0.3377 5.3087
Ni 2.4661 0.2755 7.2186
Ta 0.2232 -0.2595 2.4458
Ta -1.7930 -0.1649 4.0941
Ta -0.5041 -2.4018 3.7391
Ta 3.7395 -0.1627 4.5836
Ta 5.0285 -2.3996 4.2287
Ta 3.0122 -2.3049 5.8770

Record 3
30
Lattice="-2.0373 -9.2479 0.1994 4.7919 -1.2298 -8.0771 4.2202 -0.8729 2.6366" Properties=species:S:1:pos:R:3 comment="Ta8Ni7 (PBE-GGA, relaxed)" formation_enthalpy_0k_ev_per_atom=0.09 e_above_lowest_polymorph_mev_per_atom=148.9 magmom_total_mub_per_cell=0.00 space_group="No. 136" pbc="T T T"
Ni 0.0000 0.0000 0.0000
Ni 1.1314 -4.3037 -3.2358
Ni 1.6232 -6.1740 -4.6420
Ni 1.1739 -6.8998 -1.8009
Ni 3.6403 -4.0040 -4.7900
Ni 1.5777 -2.1155 -0.7476
Ni 3.3375 -8.8092 -5.7803
Ni 0.6823 -8.9687 0.7790
Ni 3.4874 -5.6753 -2.6205
Ni 6.2925 -2.3819 -6.0201
Ni 3.6373 -2.5415 0.5392
Ni 5.3971 -9.2352 -4.4935
Ni 3.3345 -7.3466 -0.4511
Ni 5.8009 -4.4509 -3.4401
Ta -1.2524 -6.9648 -0.3011
Ta -0.2234 -4.4188 -1.1053
Ta -0.7053 -9.0456 -1.8657
Ta 1.8934 -1.9335 -3.6707
Ta 0.8612 -8.5443 -4.2070
Ta 3.4599 -1.4321 -6.0121
Ta 2.9780 -6.0589 -6.7724
Ta 4.0070 -3.5130 -7.5766
Ta 0.9903 -6.4820 1.1093
Ta 2.3823 -4.8475 -0.5777
Ta 1.8441 -9.7298 -1.3326
Ta 3.7386 -3.2551 -2.2214
Ta 3.2362 -8.0955 -3.0197
Ta 5.1307 -1.6209 -3.9085
Ta 4.5925 -6.5031 -4.6634
Ta 5.9845 -4.8686 -6.3503

Record 4
24
Lattice="-4.3886 6.3710 3.2916 5.7006 -4.0376 4.6781 2.4951 4.9746 -6.3017" Properties=species:S:1:pos:R:3 comment="Ta5Ni (PBE-GGA, relaxed)" formation_enthalpy_0k_ev_per_atom=0.10 e_above_lowest_polymorph_mev_per_atom=71.3 magmom_total_mub_per_cell=0.13 space_group="No. 227" pbc="T T T"
Ni 0.0000 0.0000 0.0000
Ni -2.1943 3.1855 1.6458
Ni 0.6560 1.1667 3.9849
Ni 1.9036 3.6540 0.8340
Ta 2.4731 1.4739 5.8130
Ta 3.3711 -0.1044 3.3567
Ta -1.5097 5.3911 3.6580
Ta 0.6292 3.8761 5.4133
Ta -0.2989 2.5785 -0.0209
Ta 1.6709 1.1833 1.5957
Ta 0.1544 3.3848 2.7332
Ta 3.0615 3.0232 3.5987
Ta 2.2417 1.5653 -1.3807
Ta -0.5002 5.5458 0.6759
Ta 1.5654 5.7426 3.0488
Ta 4.3073 1.7622 0.9922
Ta 0.7457 4.2848 -1.9306
Ta 2.1362 6.1247 0.0724
Ta 4.1061 4.7295 1.6889
Ta 3.6527 3.9232 -1.0651
Ta 3.1780 3.4318 -3.7452
Ta 5.3169 1.9169 -1.9899
Ta 0.4360 7.4123 -1.6886
Ta 1.3340 5.8341 -4.1450